A plane-wave DFT calculation with GGA-PBE was carried out for a relaxed CsTl2Bi2 crystal.

POSCAR file:
```
CsTl2Bi2
1.0
9.947 0.000 0.000
0.000 9.947 0.000
0.000 0.000 4.025
Bi Cs Tl
4 2 4
direct
0.112 0.388 0.000
0.888 0.612 0.000
0.612 0.112 0.000
0.388 0.888 0.000
0.500 0.500 0.000
0.000 0.000 0.000
0.845 0.345 0.500
0.655 0.845 0.500
0.345 0.155 0.500
0.155 0.655 0.500
```

## Properties
offset from the most stable computed form	84.2	meV per atom

A plane-wave DFT calculation with GGA-PBE was carried out for a relaxed Cs3Tl5Bi2 crystal.

POSCAR file:
```
Cs3Tl5Bi2
1.0
4.882 0.000 0.000
0.000 13.474 0.000
0.000 0.000 13.474
Tl Cs Bi
10 6 4
direct
0.500 0.000 0.500
0.500 0.281 0.584
0.500 0.584 0.719
0.500 0.916 0.219
0.500 0.500 0.000
0.500 0.719 0.416
0.500 0.219 0.084
0.500 0.781 0.916
0.500 0.084 0.781
0.500 0.416 0.281
0.000 0.000 0.000
0.000 0.334 0.834
0.000 0.500 0.500
0.000 0.166 0.334
0.000 0.666 0.166
0.000 0.834 0.666
0.000 0.871 0.371
0.000 0.371 0.129
0.000 0.129 0.629
0.000 0.629 0.871
```

A plane-wave DFT calculation with GGA-PBE was carried out for a relaxed Cs5Tl2Bi5 crystal.

POSCAR file:
```
Cs5Tl2Bi5
1.0
-2.262 -6.354 1.060
5.084 -4.695 4.692
-4.069 -0.346 11.235
Cs Bi Tl
5 5 2
direct
0.438 0.238 0.885
0.740 0.889 0.632
0.562 0.762 0.115
0.500 0.500 0.500
0.260 0.111 0.368
0.222 0.752 0.803
0.778 0.248 0.197
0.000 0.000 0.000
0.935 0.828 0.302
0.065 0.172 0.698
0.172 0.545 0.110
0.828 0.455 0.890
```

A plane-wave DFT calculation with GGA-PBE was carried out for a relaxed Cs2Tl4Bi3 crystal.

POSCAR file:
```
Cs2Tl4Bi3
1.0
6.949 0.000 0.000
0.000 10.194 0.000
-3.475 0.000 9.896
Tl Bi Cs
8 6 4
direct
0.687 0.750 0.873
0.313 0.250 0.127
0.681 0.515 0.362
0.813 0.250 0.127
0.187 0.750 0.873
0.181 0.985 0.362
0.319 0.485 0.638
0.819 0.015 0.638
0.500 0.500 0.000
0.475 0.250 0.449
0.000 0.000 0.000
0.025 0.750 0.551
0.975 0.250 0.449
0.525 0.750 0.551
0.107 0.601 0.213
0.607 0.899 0.213
0.393 0.101 0.787
0.893 0.399 0.787
```

A plane-wave DFT calculation with GGA-PBE was carried out for a relaxed CsTl5Bi2 crystal.

POSCAR file:
```
CsTl5Bi2
1.0
-1.391 2.892 -3.437
-7.648 -3.075 -2.708
-6.815 4.325 3.182
Tl Cs Bi
5 1 2
direct
0.357 0.832 0.454
0.357 0.454 0.832
0.643 0.168 0.546
0.643 0.546 0.168
0.000 0.500 0.500
0.000 0.000 0.000
0.747 0.753 0.753
0.253 0.247 0.247
```

A plane-wave DFT calculation with GGA-PBE was carried out for a relaxed CsTl3Bi2 crystal.

POSCAR file:
```
CsTl3Bi2
1.0
5.423 0.000 0.000
-2.712 11.238 0.428
0.000 -4.748 7.717
Tl Bi Cs
6 4 2
direct
0.685 0.370 0.448
0.603 0.207 0.680
0.315 0.630 0.552
0.044 0.088 0.403
0.956 0.912 0.597
0.397 0.793 0.320
0.518 0.036 0.195
0.482 0.964 0.805
0.202 0.403 0.678
0.798 0.597 0.322
0.859 0.718 0.932
0.141 0.282 0.068
```

A plane-wave DFT calculation with GGA-PBE was carried out for a relaxed Cs3TlBi crystal.

POSCAR file:
```
Cs3TlBi
1.0
-5.482 7.695 -1.020
-1.866 -2.690 -10.269
-8.956 -5.987 2.977
Bi Tl Cs
4 4 12
direct
0.889 0.625 0.702
0.611 0.125 0.202
0.111 0.375 0.298
0.389 0.875 0.798
0.085 0.887 0.681
0.415 0.387 0.181
0.915 0.113 0.319
0.585 0.613 0.819
0.707 0.414 0.438
0.480 0.769 0.158
0.313 0.090 0.443
0.520 0.231 0.842
0.187 0.590 0.943
0.207 0.086 0.062
0.980 0.731 0.342
0.793 0.914 0.938
0.687 0.910 0.557
0.813 0.410 0.057
0.020 0.269 0.658
0.293 0.586 0.562
```

## Properties
offset from the most stable computed form	0.0	meV per atom

A plane-wave DFT calculation with GGA-PBE was carried out for a relaxed CsTlBi crystal.

POSCAR file:
```
CsTlBi
1.0
5.688 0.000 0.391
0.000 5.919 0.000
-0.568 0.000 8.329
Cs Tl Bi
2 2 2
direct
0.750 0.250 0.505
0.250 0.750 0.495
0.250 0.750 0.009
0.750 0.250 0.991
0.250 0.250 0.182
0.750 0.750 0.818
```

A plane-wave DFT calculation with GGA-PBE was carried out for a relaxed CsTl2Bi crystal.

POSCAR file:
```
CsTl2Bi
1.0
-1.667 -5.040 0.147
-0.030 -2.917 -4.438
5.984 -4.779 -0.077
Cs Tl Bi
1 2 1
direct
0.500 0.500 0.500
0.725 0.725 0.826
0.275 0.275 0.174
0.000 0.000 0.000
```

A plane-wave DFT calculation with GGA-PBE was carried out for a relaxed Cs2TlBi2 crystal.

POSCAR file:
```
Cs2TlBi2
1.0
6.065 0.000 0.000
0.000 4.499 -1.460
0.000 0.311 8.621
Cs Bi Tl
2 2 1
direct
0.000 0.689 0.378
0.000 0.924 0.849
0.500 0.503 0.007
0.500 0.307 0.615
0.500 0.118 0.237
```

## Properties
offset from the most stable computed form	74.3	meV per atom

A plane-wave DFT calculation with GGA-PBE was carried out for a relaxed CsTlBi crystal.

POSCAR file:
```
CsTlBi
1.0
5.428 -0.004 0.002
2.718 7.027 1.800
-0.001 4.468 8.116
Cs Tl Bi
2 2 2
direct
0.287 0.967 0.324
0.158 0.225 0.717
0.535 0.472 0.939
0.911 0.719 0.101
0.873 0.796 0.705
0.573 0.395 0.335
```

A plane-wave DFT calculation with GGA-PBE was carried out for a relaxed CsTl2Bi crystal.

POSCAR file:
```
CsTl2Bi
1.0
-2.422 5.561 -4.514
-3.178 -6.271 -2.782
-1.793 2.263 6.988
Tl Cs Bi
4 2 2
direct
0.000 0.250 0.750
0.000 0.750 0.250
0.500 0.250 0.250
0.500 0.750 0.750
0.000 0.250 0.250
0.000 0.750 0.750
0.500 0.500 0.000
0.500 0.000 0.500
```

A plane-wave DFT calculation with GGA-PBE was carried out for a relaxed Cs3Tl7Bi4 crystal.

POSCAR file:
```
Cs3Tl7Bi4
1.0
5.155 0.000 1.300
1.868 9.690 3.465
-0.017 0.081 10.936
Tl Cs Bi
7 3 4
direct
0.500 0.804 0.196
0.500 0.196 0.804
0.156 0.632 0.056
0.844 0.368 0.944
0.681 0.175 0.464
0.000 0.000 0.000
0.319 0.825 0.536
0.303 0.197 0.197
0.000 0.500 0.500
0.697 0.803 0.803
0.652 0.481 0.215
0.348 0.519 0.785
0.877 0.903 0.342
0.123 0.097 0.658
```

A plane-wave DFT calculation with GGA-PBE was carried out for a relaxed Cs3Tl7Bi2 crystal.

POSCAR file:
```
Cs3Tl7Bi2
1.0
-4.510 -2.462 -0.487
3.407 -6.268 0.144
-3.035 2.829 13.821
Tl Bi Cs
7 2 3
direct
0.000 0.132 0.799
0.000 0.750 0.617
0.500 0.126 0.185
0.500 0.874 0.815
0.000 0.868 0.201
0.000 0.000 0.000
0.000 0.250 0.383
0.000 0.402 0.198
0.000 0.598 0.802
0.500 0.719 0.388
0.500 0.281 0.612
0.500 0.500 0.000
```

A plane-wave DFT calculation with GGA-PBE was carried out for a relaxed Cs3TlBi crystal.

POSCAR file:
```
Cs3TlBi
1.0
9.170 0.521 0.146
-2.008 8.962 -0.146
-3.811 -4.567 7.385
Cs Tl Bi
6 2 2
direct
0.782 0.604 0.752
0.851 0.030 0.248
0.149 0.970 0.752
0.218 0.396 0.248
0.286 0.561 0.847
0.714 0.439 0.153
0.558 0.829 0.387
0.442 0.171 0.613
0.254 0.940 0.194
0.746 0.060 0.806
```

## Properties
offset from the most stable computed form	61.6	meV per atom

A plane-wave DFT calculation with GGA-PBE was carried out for a relaxed CsTl2Bi crystal.

POSCAR file:
```
CsTl2Bi
1.0
-2.862 4.657 -0.359
-6.313 -3.830 0.651
0.336 0.837 8.183
Cs Tl Bi
2 4 2
direct
0.000 0.000 0.426
0.500 0.500 0.574
0.000 0.264 0.846
0.500 0.236 0.154
0.500 0.764 0.154
0.000 0.736 0.846
0.500 0.000 0.818
0.000 0.500 0.182
```

A plane-wave DFT calculation with GGA-PBE was carried out for a relaxed CsTl3Bi3 crystal.

POSCAR file:
```
CsTl3Bi3
1.0
-4.441 2.667 -2.089
-5.325 -2.068 8.680
5.582 8.735 -0.714
Tl Bi Cs
6 6 2
direct
0.750 0.650 0.581
0.750 0.419 0.069
0.250 0.581 0.931
0.250 0.069 0.650
0.750 0.931 0.350
0.250 0.350 0.419
0.750 0.785 0.974
0.250 0.811 0.785
0.750 0.189 0.215
0.250 0.974 0.189
0.250 0.215 0.026
0.750 0.026 0.811
0.250 0.667 0.333
0.750 0.333 0.667
```

A plane-wave DFT calculation with GGA-PBE was carried out for a relaxed Cs4TlBi3 crystal.

POSCAR file:
```
Cs4TlBi3
1.0
6.076 0.000 0.000
0.000 4.951 0.000
0.000 0.000 14.281
Cs Bi Tl
4 3 1
direct
0.500 0.000 0.638
0.500 0.500 0.370
0.000 0.000 0.142
0.000 0.500 0.849
0.000 0.500 0.562
0.000 0.000 0.434
0.500 0.000 0.936
0.500 0.500 0.070
```

A plane-wave DFT calculation with GGA-PBE was carried out for a relaxed Cs6TlBi2 crystal.

POSCAR file:
```
Cs6TlBi2
1.0
-2.628 -3.160 5.323
-5.811 -3.332 -0.599
3.896 -13.273 -1.708
Cs Tl Bi
6 1 2
direct
0.420 0.420 0.739
0.706 0.706 0.882
0.809 0.809 0.574
0.580 0.580 0.261
0.191 0.191 0.426
0.294 0.294 0.118
0.000 0.000 0.000
0.089 0.089 0.732
0.911 0.911 0.268
```

A plane-wave DFT calculation with GGA-PBE was carried out for a relaxed CsTl3Bi3 crystal.

POSCAR file:
```
CsTl3Bi3
1.0
8.705 0.000 0.000
0.000 8.705 0.000
0.000 0.000 8.705
Bi Cs Tl
6 2 6
direct
0.500 0.250 0.000
0.000 0.500 0.250
0.750 0.000 0.500
0.250 0.000 0.500
0.000 0.500 0.750
0.500 0.750 0.000
0.500 0.500 0.500
0.000 0.000 0.000
0.750 0.500 0.000
0.000 0.250 0.500
0.500 0.000 0.750
0.500 0.000 0.250
0.000 0.750 0.500
0.250 0.500 0.000
```

Table of final energy (eV/atom), in record order: -2.79; -2.38; -2.60; -2.70; -2.65; -2.76; -1.98; -2.53; -2.55; -2.59; -2.65; -2.22; -2.66; -2.39; -1.92; -2.58; -2.78; -2.52; -1.91; -2.78
Table of E_form (kJ/mol of atoms), in record order: -11.7; -15.5; -22.6; -15.9; -9.3; -13.4; -21.0; -15.8; -17.2; -21.4; -27.1; 14.2; -18.1; -13.9; -15.1; -20.5; 2.0; -32.6; -21.1; 1.9